No. 1
A plane-wave DFT calculation with GGA-PBE was carried out for a geometry-optimized SrGaAg2F8 structure.

Summary:
Formation energy from raw total energies   -27.49 eV per formula unit
Space group   P2/m, No. 10
Final energy   -52.874 eV/cell

a = 4.8750 Å, b = 7.0575 Å, c = 5.4504 Å
α = 90.00°, β = 94.80°, γ = 90.00°
Closest atoms and distances in Å follow each position.
Fractional coordinates of all 12 atoms:
Sr (0.0000, 0.0000, 0.0000)  6 F 2.41-2.47
Ga (0.0000, 0.5000, 0.0000)  6 F 1.92-1.98
Ag (0.5000, 0.2624, 0.5000)  4 F 2.26-2.32
Ag (0.5000, 0.7376, 0.5000)  4 F 2.26-2.32
F (0.1373, 0.2987, 0.8068)  1 Ga 1.92
F (0.1373, 0.7013, 0.8068)  1 Ga 1.92
F (0.3300, 0.5000, 0.2364)  1 Ga 1.98
F (0.4193, 0.0000, 0.2683)  2 Ag 2.26, 1 Sr 2.41
F (0.5807, 0.0000, 0.7317)  2 Ag 2.26, 1 Sr 2.41
F (0.6700, 0.5000, 0.7636)  1 Ga 1.98
F (0.8627, 0.2987, 0.1932)  1 Ga 1.92
F (0.8627, 0.7013, 0.1932)  1 Ga 1.92



No. 2
A plane-wave DFT calculation with GGA-PBE was carried out for a geometry-optimized Rb2PaTeO6 structure.

Summary:
Formation energy from raw total energies   -21.39 eV per formula unit
Space group   Fm-3m, No. 225
Final energy   -65.715 eV/cell

a = 6.0758 Å, b = 6.0758 Å, c = 6.0758 Å
α = 60.00°, β = 60.00°, γ = 60.00°
Closest atoms and distances in Å follow each position.
Fractional coordinates of all 10 atoms:
Rb (0.2500, 0.2500, 0.2500)  12 O 3.04
Rb (0.7500, 0.7500, 0.7500)  12 O 3.04
Pa (0.0000, 0.0000, 0.0000)  6 O 2.19
Te (0.5000, 0.5000, 0.5000)  6 O 2.11
O (0.2547, 0.2547, 0.7453)  1 Te 2.11, 1 Pa 2.19
O (0.2547, 0.7453, 0.2547)  1 Te 2.11, 1 Pa 2.19
O (0.2547, 0.7453, 0.7453)  1 Te 2.11, 1 Pa 2.19
O (0.7453, 0.2547, 0.2547)  1 Te 2.11, 1 Pa 2.19
O (0.7453, 0.2547, 0.7453)  1 Te 2.11, 1 Pa 2.19
O (0.7453, 0.7453, 0.2547)  1 Te 2.11, 1 Pa 2.19